Entry 1:
Here is Rb4Tb3CeS8 after structural relaxation from Alexandria. Energies are from PBE.

Space group ... R-3m (166)
Formation energy (no corrections) ... -1.828 eV per atom

Lattice parameters (Å, degrees): 8.2789 9.0506 8.2793 117.24 120.00 90.00
Last column: magnetic moment on the atom in μB.
Sites, in units of the cell vectors:
S 0.2346 0.6937 0.9593  -0.01
S 0.7247 0.6937 0.9593  -0.01
S 0.2346 0.6936 0.4691  -0.01
S 0.2693 0.3079 0.5385  0.00
S 0.2753 0.3063 0.0407  -0.01
S 0.7307 0.6921 0.4615  0.00
S 0.7654 0.3063 0.0407  -0.01
S 0.7654 0.3064 0.5309  -0.01
Tb 0.5000 0.5000 0.0000  0.01
Tb 0.0000 0.5000 0.5000  0.01
Tb 0.5000 0.5000 0.5000  0.01
Rb 0.5000 0.0000 0.0000  0.00
Rb 0.5000 0.0000 0.5000  0.00
Rb 0.0000 0.0000 0.5000  0.00
Rb 0.0000 0.0000 0.0000  0.00
Ce 0.0000 0.5000 0.0000  0.93

Entry 2:
Here is GdCd2 after structural relaxation from Alexandria. Energies are from PBE.

Space group ... I4/mmm (139)
DFT formation energy ... -252 meV/atom

Lattice parameters (Å, degrees): 3.4438 3.4438 6.7745 104.72 104.72 90.00
Last column: magnetic moment on the atom in μB.
Sites, in units of the cell vectors:
Cd 0.3248 0.3248 0.6496  0.00
Cd 0.6752 0.6752 0.3504  0.00
Gd 0.0000 0.0000 0.0000  7.20

Entry 3:
Here is Gd3CdRh after structural relaxation from Alexandria. Energies are from PBE.

Space group ... Pm-3m (221)
DFT formation energy ... -285 meV/atom

Lattice parameters (Å, degrees): 5.3903 5.3903 5.3903 90.00 90.00 90.00
Last column: magnetic moment on the atom in μB.
Sites, in units of the cell vectors:
Cd 0.5000 0.5000 0.5000  -0.01
Gd 0.0000 0.5000 0.0000  7.03
Gd 0.5000 0.0000 0.0000  7.03
Gd 0.0000 0.0000 0.5000  7.03
Rh 0.0000 0.0000 0.0000  -0.02

Entry 4:
Here is Co2Cu2Sn after structural relaxation from Alexandria. Energies are from PBE.

Excess energy over the best structure of this formula in the dataset ... 0.0 meV per atom
Space group ... P4/mbm (127)
DFT formation energy ... 258 meV/atom

Lattice parameters (Å, degrees): 6.4422 6.4422 3.3833 90.00 90.00 90.00
Last column: magnetic moment on the atom in μB.
Sites, in units of the cell vectors:
Cu 0.1634 0.6634 0.5000  0.02
Cu 0.3366 0.1634 0.5000  0.02
Cu 0.8366 0.3366 0.5000  0.02
Cu 0.6634 0.8366 0.5000  0.02
Co 0.6256 0.1256 0.0000  1.20
Co 0.3744 0.8744 0.0000  1.20
Co 0.1256 0.3744 0.0000  1.20
Co 0.8744 0.6256 0.0000  1.20
Sn 0.5000 0.5000 0.0000  -0.06
Sn 0.0000 0.0000 0.0000  -0.06

Entry 5:
Here is Er8TlIr2 after structural relaxation from Alexandria. Energies are from PBE.

Space group ... C2/m (12)
DFT formation energy ... -433 meV/atom

Lattice parameters (Å, degrees): 5.4263 7.8623 7.8623 112.91 97.53 97.53
Sites, in units of the cell vectors:
Er 0.7002 0.3867 0.3867
Er 0.9206 0.9306 0.6684
Er 0.5000 0.2471 0.7529
Er 0.5000 0.7529 0.2471
Er 0.0794 0.0694 0.3316
Er 0.9206 0.6684 0.9306
Er 0.2998 0.6133 0.6133
Er 0.0794 0.3316 0.0694
Ir 0.0000 0.6896 0.3104
Ir 0.0000 0.3104 0.6896
Tl 0.5000 0.0000 0.0000

Entry 6:
Here is AsPdRu2 after structural relaxation from Alexandria. Energies are from PBE.

Space group ... I-42d (122)
DFT formation energy ... 853 meV/atom

Lattice parameters (Å, degrees): 5.0921 5.0921 7.3096 69.62 69.62 90.00
Sites, in units of the cell vectors:
Ru 0.6006 0.1250 0.2500
Ru 0.3750 0.3994 0.7500
Ru 0.8750 0.8506 0.7500
Ru 0.1494 0.6250 0.2500
As 0.5000 0.5000 0.0000
As 0.2500 0.7500 0.5000
Pd 0.0000 0.0000 0.0000
Pd 0.7500 0.2500 0.5000

Values for energy, eV per cell, ordered as above
-85.96; -16.67; -51.94; -50.23; -61.36; -49.97
Values for N(E_F), states/eV/cell, ordered as above
4.6; 2.5; 8.0; 10.2; 11.7; 9.5